[1]
Density functional theory data (PBE-GGA) for crystalline Ce8Ir2Au3 at its relaxed geometry.

The space group is C2/m (No. 12) and the conventional cell measures 13.8777, 9.0070 and 5.3715 Å, with angles of 90.00, 100.08 and 90.00 degrees. The asymmetric unit holds Ce at (0.1287, 0.2123, 0.0560), Ce at (0.1422, 0.5000, 0.5402), Ce at (0.1562, 0.0000, 0.4473), Ir at (0.2306, 0.5000, 0.0549), Au at (0.0000, 0.2366, 0.5000) and Au at (0.0000, 0.5000, 0.0000).

As for the calculated volume: 661.0 Å³/cell. The value obtained for the formation enthalpy at 0 K is -0.464 eV/atom.

[2]
Density functional theory data (PBE-GGA) for crystalline Ce3Ir8Au at its relaxed geometry.

The space group is R3m (No. 160, hexagonal axes) and the conventional cell measures 5.3587, 5.3587 and 26.2966 Å, with angles of 90.00, 90.00 and 120.00 degrees. The asymmetric unit holds Ce at (0.0000, 0.0000, 0.0000), Ce at (0.0000, 0.0000, 0.1294), Ce at (0.0000, 0.0000, 0.6154), Ir at (0.0000, 0.0000, 0.3112), Ir at (0.0000, 0.0000, 0.8113), Ir at (0.0001, 0.5001, 0.0609), Ir at (0.0023, 0.5012, 0.5616) and Au at (0.0000, 0.0000, 0.4935).

As for the calculated volume: 654.0 Å³/cell. The value obtained for the formation enthalpy at 0 K is -0.561 eV/atom.

[3]
Density functional theory data (PBE-GGA) for crystalline Ce2IrAu at its relaxed geometry.

The space group is R-3m (No. 166, hexagonal axes) and the conventional cell measures 4.1113, 4.1113 and 21.1849 Å, with angles of 90.00, 90.00 and 120.00 degrees. The asymmetric unit holds Ce at (0.0000, 0.0000, 0.2402), Ir at (0.0000, 0.0000, 0.5000) and Au at (0.0000, 0.0000, 0.0000).

As for the calculated volume: 310.1 Å³/cell. The value obtained for the formation enthalpy at 0 K is -0.683 eV/atom.